[1]
{
  "formula": "LaPrLu",
  "functional": "PBE",
  "state": "optimized geometry",
  "lattice": [[4.009, 0.115, 3.826], [1.501, 4.816, 2.297], [-1.253, 1.054, 5.296]],
  "species": ["Pr", "Lu", "La"],
  "fractional_positions": [[0.750, 0.750, 0.750], [0.000, 0.000, 0.000], [0.250, 0.250, 0.250]],
  "e_above_lowest_polymorph_ev_per_atom": 0.000,
  "formation_enthalpy_0k_ev_per_atom": 0.6379
}



[2]
{
  "formula": "LaLuPt",
  "functional": "PBE",
  "state": "optimized geometry",
  "lattice": [[4.986, 0.000, 0.000], [-2.493, 4.318, 0.000], [0.000, 0.000, 9.401]],
  "species": ["Lu", "Lu", "La", "Lu", "Pt", "Pt", "Pt", "La", "La"],
  "fractional_positions": [[0.000, 0.000, 0.680], [0.000, 0.000, 0.320], [0.000, 0.000, 0.000], [0.667, 0.333, 0.000], [0.333, 0.667, 0.500], [0.333, 0.667, 0.832], [0.333, 0.667, 0.168], [0.667, 0.333, 0.649], [0.667, 0.333, 0.351]],
  "e_above_lowest_polymorph_ev_per_atom": 0.000,
  "formation_enthalpy_0k_ev_per_atom": -0.2618
}



[3]
{
  "formula": "LaLuPt",
  "functional": "PBE",
  "state": "optimized geometry",
  "lattice": [[0.000, 3.414, 3.414], [3.414, 0.000, 3.414], [3.414, 3.414, 0.000]],
  "species": ["Lu", "La", "Pt"],
  "fractional_positions": [[0.250, 0.250, 0.250], [0.500, 0.500, 0.500], [0.750, 0.750, 0.750]],
  "e_above_lowest_polymorph_ev_per_atom": 0.253,
  "formation_enthalpy_0k_ev_per_atom": -0.0090
}



[4]
{
  "formula": "LaLuPu",
  "functional": "PBE",
  "state": "optimized geometry",
  "lattice": [[2.636, 1.522, 4.304], [-2.636, 1.522, 4.304], [0.000, -3.044, 4.304]],
  "species": ["La", "Lu", "Pu"],
  "fractional_positions": [[0.750, 0.750, 0.750], [0.250, 0.250, 0.250], [0.000, 0.000, 0.000]],
  "formation_enthalpy_0k_ev_per_atom": 0.7075
}



[5]
{
  "formula": "LaLuRe",
  "functional": "PBE",
  "state": "optimized geometry",
  "lattice": [[-3.448, 0.644, 3.323], [-0.046, 4.016, 2.687], [-3.431, 3.331, -0.693]],
  "species": ["La", "Re", "Lu"],
  "fractional_positions": [[0.250, 0.250, 0.250], [0.000, 0.000, 0.000], [0.750, 0.750, 0.750]],
  "formation_enthalpy_0k_ev_per_atom": 0.2901
}



[6]
{
  "formula": "LaLu3S6",
  "functional": "PBE",
  "state": "optimized geometry",
  "lattice": [[-0.863, -1.214, -10.849], [-1.935, -3.402, 0.535], [-8.916, 5.661, 3.757]],
  "species": ["S", "S", "La", "Lu", "S", "S", "S", "Lu", "Lu", "S", "S", "S", "Lu", "Lu", "S", "Lu", "S", "S", "S", "La"],
  "fractional_positions": [[0.082, 0.250, 0.910], [0.800, 0.750, 0.751], [0.051, 0.750, 0.696], [0.322, 0.250, 0.500], [0.123, 0.750, 0.464], [0.522, 0.250, 0.388], [0.393, 0.750, 0.057], [0.839, 0.250, 0.911], [0.555, 0.250, 0.166], [0.200, 0.250, 0.249], [0.728, 0.750, 0.269], [0.877, 0.250, 0.536], [0.678, 0.750, 0.500], [0.161, 0.750, 0.089], [0.272, 0.250, 0.731], [0.445, 0.750, 0.834], [0.918, 0.750, 0.090], [0.478, 0.750, 0.612], [0.607, 0.250, 0.943], [0.949, 0.250, 0.304]]
}



| no. | E (eV per atom) |
| --- | --- |
| 1 | -4.1024 |
| 2 | -5.4291 |
| 3 | -5.1763 |
| 4 | -7.1501 |
| 5 | -6.9996 |
| 6 | -6.4395 |